# 1
BeCd2Hg: optimized geometry, PBE.

Results
Formation energy in eV per atom: 0.31
VASP energy in Ha/atom: -0.0425
M_tot in μB/f.u.: 0.00
Calculated volume in Å³ per atom: 19.9
Distance to the lowest polymorph of the same formula in meV per atom: 100

Structure (extended XYZ):
```
4
Lattice="5.681 -0.003 -0.014 1.974 5.327 0.014 -2.734 -4.235 2.621" Properties=species:S:1:pos:R:3 pbc="T T T"
Be 1.563 1.897 1.318
Cd 3.380 -0.793 1.303
Cd 0.246 0.171 0.000
Hg 3.560 2.476 0.000
```

=====

# 2
CrBi2IrBr: optimized geometry, PBE.

Results
VASP energy in Ha/atom: -0.1362
M_tot in μB/f.u.: 0.47
ΔE_f (raw) in eV/atom: 1.88
Calculated volume in Å³ per atom: 28.7

Structure (extended XYZ):
```
5
Lattice="-2.806 4.523 -1.656 -3.083 -2.697 -2.143 -3.062 -0.197 4.654" Properties=species:S:1:pos:R:3 pbc="T T T"
Cr -4.476 0.815 0.428
Br 0.000 0.000 0.000
Ir -1.542 -1.349 -1.071
Bi -1.403 2.262 -0.828
Bi -1.531 -0.098 2.327
```

=====

# 3
H2Pd8Pb: optimized geometry, PBE.

Results
VASP energy in Ha/atom: -0.1737
M_tot in μB/f.u.: 0.00
Calculated volume in Å³ per atom: 14.8

Structure (extended XYZ):
```
11
Lattice="-4.093 0.758 -1.784 -4.850 -0.818 5.495 -3.517 4.478 4.687" Properties=species:S:1:pos:R:3 pbc="T T T"
Pd -8.999 3.080 5.336
H -9.196 3.395 7.073
Pd -7.481 3.062 7.720
Pd -6.985 1.190 5.668
Pd -3.462 1.339 3.062
Pd -6.321 3.828 5.266
Pd -4.979 1.357 0.678
Pd -5.475 3.228 2.729
Pb 0.000 0.000 0.000
Pd -6.139 0.590 3.132
H -3.265 1.024 1.324
```

=====

# 4
Ac8TeOs3I4: optimized geometry, PBE.

Results
VASP energy in Ha/atom: -0.2017
M_tot in μB/f.u.: 0.00
ΔE_f (raw) in eV/atom: -0.75
Calculated volume in Å³ per atom: 37.9

Structure (extended XYZ):
```
16
Lattice="9.099 0.000 0.000 0.000 9.947 0.601 -4.549 -4.552 6.433" Properties=species:S:1:pos:R:3 pbc="T T T"
Os -2.275 2.698 3.517
Ac 2.054 2.541 6.468
Ac 2.496 2.854 0.566
Ac 4.549 4.763 3.370
I 2.275 -2.276 3.216
I -2.275 -2.276 3.216
Ac 0.000 4.596 3.564
Os 2.275 2.698 3.517
I 4.549 0.000 0.000
Os 4.549 4.974 0.301
Ac 6.603 2.854 0.566
Ac 0.000 0.633 3.664
Te 0.000 4.974 0.301
Ac 4.549 0.799 3.470
I 0.000 0.000 0.000
Ac -2.054 2.541 6.468
```

=====

# 5
Dy3Cd2Hg: optimized geometry, PBE.

Results
Formation energy in eV per atom: -0.37
VASP energy in Ha/atom: -0.1114
M_tot in μB/f.u.: 0.00
Calculated volume in Å³ per atom: 26.0

Structure (extended XYZ):
```
6
Lattice="5.274 0.000 0.000 -2.637 4.567 0.000 0.000 0.000 6.486" Properties=species:S:1:pos:R:3 pbc="T T T"
Dy 2.637 1.522 5.444
Cd 0.000 3.045 4.245
Hg 0.000 0.000 0.000
Dy 0.000 0.000 3.243
Cd 2.637 1.522 2.241
Dy 0.000 3.045 1.041
```

=====

# 6
Co2ReNi2: optimized geometry, PBE.

Results
Formation energy in eV per atom: 0.21
VASP energy in Ha/atom: -0.2730
M_tot in μB/f.u.: 3.99
Calculated volume in Å³ per atom: 11.7
Distance to the lowest polymorph of the same formula in meV per atom: 200

Structure (extended XYZ):
```
10
Lattice="-4.672 -2.517 4.169 3.803 -5.495 0.944 1.162 1.147 1.994" Properties=species:S:1:pos:R:3 pbc="T T T"
Co -2.038 -3.290 4.744
Ni -1.727 -5.631 4.244
Re 0.000 0.000 0.000
Ni 0.858 -2.381 0.869
Re -0.435 -4.006 2.557
Ni 1.574 -5.766 2.399
Co 2.330 -3.575 2.363
Ni -2.443 -2.245 2.714
Co 0.566 -5.659 4.590
Co -0.273 -1.206 2.518
```

=====

# 7
Pm8Al2Au: optimized geometry, PBE.

Results
Formation energy in eV per atom: -0.25
VASP energy in Ha/atom: -0.1722
M_tot in μB/f.u.: 0.00
Calculated volume in Å³ per atom: 29.8
Distance to the lowest polymorph of the same formula in meV per atom: 0

Structure (extended XYZ):
```
11
Lattice="5.163 0.000 0.000 0.000 6.851 0.284 -2.582 -2.581 9.168" Properties=species:S:1:pos:R:3 pbc="T T T"
Pm 2.582 3.270 5.551
Al 2.582 0.121 5.822
Al 0.000 4.149 3.630
Pm 0.000 5.178 0.610
Pm 0.000 1.000 3.901
Pm 2.582 -0.908 8.843
Pm 0.000 -1.580 6.309
Au 2.582 0.000 0.000
Pm 2.582 2.695 1.872
Pm 2.582 5.850 3.144
Pm 0.000 1.575 7.580
```

=====

# 8
RbH3S2: optimized geometry, PBE.

Results
VASP energy in Ha/atom: -0.1356
M_tot in μB/f.u.: 0.00
Calculated volume in Å³ per atom: 21.3
Distance to the lowest polymorph of the same formula in meV per atom: 0

Structure (extended XYZ):
```
12
Lattice="2.882 -1.835 -3.717 -2.958 9.318 1.265 -4.539 3.447 17.616" Properties=species:S:1:pos:R:3 pbc="T T T"
S -1.505 2.959 3.527
H -4.306 7.486 12.037
Rb -1.137 7.070 1.017
H -3.158 5.768 10.885
H -3.793 8.184 9.571
Rb -3.478 3.860 14.148
S -1.382 6.522 4.537
S -3.233 4.409 10.628
H -0.309 3.445 3.128
S -3.110 7.972 11.638
H -1.457 5.162 4.280
H -0.822 2.747 5.594
```

=====

# 9
Y2MgAs3Rh4: optimized geometry, PBE.

Results
Formation energy in eV per atom: -0.89
VASP energy in Ha/atom: -0.2454
M_tot in μB/f.u.: 0.00
Calculated volume in Å³ per atom: 18.0

Structure (extended XYZ):
```
10
Lattice="-3.229 -2.416 -0.058 2.375 -3.190 0.672 -1.232 1.385 10.923" Properties=species:S:1:pos:R:3 pbc="T T T"
As -2.682 -0.007 9.440
Y 0.253 -0.544 8.625
Mg -1.043 -2.111 5.769
Rh -0.427 -2.803 0.307
Rh -2.418 -0.305 7.095
As -0.616 0.693 5.462
Rh 0.000 0.000 0.000
Y -1.912 -0.874 2.606
As 1.024 -1.411 1.790
Rh 0.759 -1.113 4.135
```

=====

# 10
BaY2Mg2: optimized geometry, PBE.

Results
Formation energy in eV per atom: 0.04
VASP energy in Ha/atom: -0.1310
M_tot in μB/f.u.: 0.00
Calculated volume in Å³ per atom: 33.0
Distance to the lowest polymorph of the same formula in meV per atom: 0

Structure (extended XYZ):
```
10
Lattice="9.517 0.000 0.000 0.000 9.517 0.000 0.000 0.000 3.645" Properties=species:S:1:pos:R:3 pbc="T T T"
Mg 7.910 3.151 1.823
Y 1.175 3.583 0.000
Y 8.342 5.934 0.000
Y 5.934 1.175 0.000
Y 3.583 8.342 0.000
Ba 0.000 0.000 0.000
Mg 1.607 6.366 1.823
Mg 6.366 7.910 1.823
Ba 4.759 4.759 0.000
Mg 3.151 1.607 1.823
```

=====

# 11
LiAg4Pb: optimized geometry, PBE.

Results
Formation energy in eV per atom: -0.03
VASP energy in Ha/atom: -0.1055
M_tot in μB/f.u.: 0.00
Calculated volume in Å³ per atom: 19.3
Distance to the lowest polymorph of the same formula in meV per atom: 0

Structure (extended XYZ):
```
6
Lattice="-2.571 0.984 -4.501 2.075 -2.681 -3.954 -4.146 -2.886 -1.426" Properties=species:S:1:pos:R:3 pbc="T T T"
Ag -1.382 -1.185 -5.218
Pb -1.035 -2.784 -2.690
Ag -5.658 -1.657 -4.929
Ag 1.016 -2.927 -4.952
Li -3.358 -0.951 -2.963
Ag -3.260 -3.399 -4.663
```

=====

# 12
CsAl2InTe: optimized geometry, PBE.

Results
VASP energy in Ha/atom: -0.0839
M_tot in μB/f.u.: 0.00
ΔE_f (raw) in eV/atom: 0.56
Calculated volume in Å³ per atom: 43.9

Structure (extended XYZ):
```
5
Lattice="-0.605 4.798 -2.888 -6.869 -0.468 0.662 0.264 2.926 4.806" Properties=species:S:1:pos:R:3 pbc="T T T"
In -3.605 3.628 1.290
Al -0.303 2.399 -1.444
Cs -3.435 -0.234 0.331
Al 0.132 1.463 2.403
Te 0.000 0.000 0.000
```

=====

# 13
Nd4PdRh2: optimized geometry, PBE.

Results
Formation energy in eV per atom: -0.66
VASP energy in Ha/atom: -0.2288
M_tot in μB/f.u.: 0.00
Calculated volume in Å³ per atom: 25.5

Structure (extended XYZ):
```
14
Lattice="-3.276 -3.003 6.340 2.912 -5.652 -4.413 5.712 4.780 2.107" Properties=species:S:1:pos:R:3 pbc="T T T"
Nd 4.116 2.273 3.666
Nd 1.360 -3.047 -0.321
Pd -3.275 -3.003 6.340
Nd 1.133 0.662 6.089
Pd 4.219 -2.600 -0.672
Nd -0.708 -2.768 4.978
Rh 1.582 -2.915 2.538
Rh 3.857 1.203 1.015
Nd 2.833 -2.882 5.123
Nd 1.249 -0.113 2.632
Rh 1.614 -5.856 -0.460
Nd 4.488 -1.379 1.962
Rh 3.643 -0.182 4.976
Nd 0.729 -5.597 2.761
```

=====

# 14
NpReTc: optimized geometry, PBE.

Results
Formation energy in eV per atom: 0.29
VASP energy in Ha/atom: -0.4272
M_tot in μB/f.u.: 1.27
Calculated volume in Å³ per atom: 16.4
Distance to the lowest polymorph of the same formula in meV per atom: 0

Structure (extended XYZ):
```
3
Lattice="2.750 0.000 0.000 0.000 4.550 0.000 0.000 -2.275 3.941" Properties=species:S:1:pos:R:3 pbc="T T T"
Re 2.596 0.000 0.000
Np 1.822 0.000 2.627
Tc 1.083 2.275 1.314
```

=====

# 15
UNbOs2: optimized geometry, PBE.

Results
Formation energy in eV per atom: -0.05
VASP energy in Ha/atom: -0.4044
M_tot in μB/f.u.: 0.00
Calculated volume in Å³ per atom: 17.6

Structure (extended XYZ):
```
4
Lattice="-2.503 1.895 1.717 -2.314 -3.713 0.724 2.165 -0.604 3.823" Properties=species:S:1:pos:R:3 pbc="T T T"
Os 1.083 -0.302 1.911
Os -1.157 -1.857 0.362
Nb -1.251 0.947 0.858
U -1.326 -1.211 3.132
```

=====

# 16
Ba2Li2Ge: optimized geometry, PBE.

Results
Formation energy in eV per atom: -0.25
VASP energy in Ha/atom: -0.0994
M_tot in μB/f.u.: 0.00
Calculated volume in Å³ per atom: 35.2
Distance to the lowest polymorph of the same formula in meV per atom: 0

Structure (extended XYZ):
```
5
Lattice="-3.209 -0.639 3.187 -4.293 -0.951 -1.239 -0.437 -10.061 0.815" Properties=species:S:1:pos:R:3 pbc="T T T"
Li -2.407 -0.960 0.657
Li -5.532 -10.690 2.107
Ge 0.000 0.000 0.000
Ba -4.434 -3.677 1.344
Ba -3.505 -7.973 1.419
```

=====

# 17
VCl: optimized geometry, PBE.

Results
VASP energy in Ha/atom: -0.2055
M_tot in μB/f.u.: 0.01
ΔE_f (raw) in eV/atom: -0.11
Calculated volume in Å³ per atom: 17.4

Structure (extended XYZ):
```
12
Lattice="-1.456 2.631 -0.694 0.145 -1.302 -5.241 -11.027 -5.802 1.136" Properties=species:S:1:pos:R:3 pbc="T T T"
V -8.923 -5.989 -3.991
V -1.832 -2.258 -4.721
Cl -7.083 -4.728 -3.070
Cl 0.128 -1.155 -4.652
Cl -6.225 -1.732 -0.368
Cl -10.041 -3.960 -0.813
Cl -3.734 -2.966 -3.415
V -4.265 -0.629 -0.298
Cl -2.363 0.079 -1.605
V -0.642 0.545 -3.450
V -5.454 -3.432 -1.570
V -8.200 -2.699 0.107
```

=====

# 18
Ca4GaBr5: optimized geometry, PBE.

Results
VASP energy in Ha/atom: -0.1276
M_tot in μB/f.u.: 1.29
ΔE_f (raw) in eV/atom: -1.53
Calculated volume in Å³ per atom: 33.8

Structure (extended XYZ):
```
10
Lattice="4.026 0.000 -0.877 -0.487 8.699 -2.236 -0.001 -0.145 9.677" Properties=species:S:1:pos:R:3 pbc="T T T"
Br 3.037 5.831 4.261
Br 3.262 1.159 5.298
Br 1.770 4.350 -1.556
Br 0.276 7.395 1.267
Ca 2.627 0.750 2.380
Ga 2.013 0.000 -0.438
Ca -0.363 6.524 -1.668
Ca 3.901 2.030 8.233
Br 0.502 2.723 2.303
Ca 0.911 7.803 4.185
```

=====

# 19
RbRhSe2: optimized geometry, PBE.

Results
VASP energy in Ha/atom: -0.1657
M_tot in μB/f.u.: 0.00
ΔE_f (raw) in eV/atom: -0.69
Calculated volume in Å³ per atom: 24.8

Structure (extended XYZ):
```
4
Lattice="-3.681 2.802 6.266 -3.279 -2.131 0.252 3.099 -0.902 2.224" Properties=species:S:1:pos:R:3 pbc="T T T"
Rh -1.629 0.247 5.966
Rb -0.348 -2.052 3.243
Se -4.155 0.552 6.156
Se -2.196 0.833 3.539
```

=====

# 20
RbCrHg3: optimized geometry, PBE.

Results
Formation energy in eV per atom: 0.81
VASP energy in Ha/atom: -0.0546
M_tot in μB/f.u.: 5.13
Calculated volume in Å³ per atom: 57.1
Distance to the lowest polymorph of the same formula in meV per atom: 710

Structure (extended XYZ):
```
5
Lattice="-0.020 -5.801 3.115 6.564 0.227 0.465 -0.517 3.107 5.782" Properties=species:S:1:pos:R:3 pbc="T T T"
Rb 0.000 0.000 0.000
Hg -0.010 -2.900 1.558
Hg -0.259 1.554 2.891
Hg 3.282 0.113 0.233
Cr 3.013 -1.233 4.682
```